DFT (GGA-PBE) results for a relaxed structure of Tb7Pm4Ho.

magnetization = 0.00 μB/atom
relative energy among the computed polymorphs = 4.195 kcal/mol of atoms
total DFT energy (no corrections) = -4.3976 eV/atom
DFT formation energy = 0.27 eV per atom

Unit cell a=6.7402 b=6.7402 c=12.7934 alpha=114.95 beta=114.95 gamma=52.38
Last column: nearest neighbours and their distance in Å.
Fractional positions:
Tb  0.0000  0.0000  0.0000  2 Ho 2.97, 2 Tb 3.14
Tb  0.2117  0.2117  0.9235  4 Tb 3.14-3.44, 1 Ho 3.15, 4 Pm 3.34-3.40
Tb  0.2532  0.2532  0.6860  4 Tb 3.29-3.63, 1 Pm 3.67
Tb  0.3650  0.3650  0.4965  2 Tb 3.22-3.29, 5 Pm 3.31-3.57
Tb  0.6350  0.6350  0.5035  2 Tb 3.22-3.29, 5 Pm 3.31-3.57
Tb  0.7468  0.7468  0.3140  4 Tb 3.29-3.63, 1 Pm 3.67
Tb  0.7883  0.7883  0.0765  4 Tb 3.14-3.44, 1 Ho 3.15, 4 Pm 3.34-3.40
Pm  0.0575  0.0575  0.3297  5 Tb 3.31-3.67, 2 Pm 3.64
Pm  0.3630  0.3630  0.2226  7 Tb 3.38-3.71, 2 Pm 3.64
Pm  0.6370  0.6370  0.7774  7 Tb 3.38-3.71, 2 Pm 3.64
Pm  0.9425  0.9425  0.6703  5 Tb 3.31-3.67, 2 Pm 3.64
Ho  0.5000  0.5000  0.0000  4 Tb 2.97-3.15

DFT (GGA-PBE) results for a relaxed structure of ZrTi2Zn6.

magnetization = 0.17 μB/atom
total DFT energy (no corrections) = -3.5823 eV/atom
DFT formation energy = -0.03 eV per atom

Unit cell a=7.2428 b=7.2428 c=7.2428 alpha=145.23 beta=133.15 gamma=59.65
Last column: nearest neighbours and their distance in Å.
Fractional positions:
Zr  0.0000  0.0000  0.0000  2 Ti 2.89, 10 Zn 2.90-3.04
Ti  0.4811  0.9811  0.5000  1 Ti 2.63, 10 Zn 2.84-2.88, 2 Zr 2.89
Ti  0.6904  0.1904  0.5000  1 Ti 2.63, 10 Zn 2.83-2.87
Zn  0.0366  0.7868  0.2499  3 Zn 2.48-2.50
Zn  0.1398  0.3870  0.7527  3 Zn 2.50-2.55
Zn  0.3602  0.5900  0.7702  3 Zn 2.48-2.65
Zn  0.5369  0.7868  0.7501  3 Zn 2.48-2.50
Zn  0.6343  0.3870  0.2473  3 Zn 2.50-2.55
Zn  0.8198  0.5900  0.2298  3 Zn 2.48-2.65

DFT (GGA-PBE) results for a relaxed structure of La2GaPt.

magnetization = 0.00 μB/atom
total DFT energy (no corrections) = -5.2538 eV/atom
DFT formation energy = -0.52 eV per atom

Unit cell a=6.7178 b=6.7178 c=6.7178 alpha=105.78 beta=105.78 gamma=117.15
Last column: nearest neighbours and their distance in Å.
Fractional positions:
La  0.0925  0.6250  0.9675  2 Pt 2.83
La  0.3750  0.3425  0.4675  2 Pt 2.83
La  0.6575  0.1250  0.0325  2 Pt 2.83
La  0.8750  0.9075  0.5325  2 Pt 2.83
Ga  0.2500  0.7500  0.5000  4 La 3.18, 2 Pt 3.50
Ga  0.5000  0.5000  0.0000  4 La 3.18, 2 Pt 3.50
Pt  0.0000  0.0000  0.0000  4 La 2.83
Pt  0.7500  0.2500  0.5000  4 La 2.83

DFT (GGA-PBE) results for a relaxed structure of Mn2SiP.

magnetization = 0.91 μB/atom
ΔE_f (raw) = -0.127 eV/atom
total DFT energy (no corrections) = -7.4204 eV/atom

Unit cell a=4.6929 b=4.6929 c=4.6929 alpha=137.48 beta=137.48 gamma=61.71
Last column: nearest neighbours and their distance in Å.
Fractional positions:
Mn  0.0000  0.0000  0.0000  4 Si 2.41, 4 Mn 2.64, 4 P 2.64
Mn  0.7500  0.2500  0.5000  4 P 2.41, 4 Mn 2.64, 4 Si 2.64
Si  0.5000  0.5000  0.0000  8 Mn 2.41-2.64, 4 P 2.64
P  0.2500  0.7500  0.5000  8 Mn 2.41-2.64, 4 Si 2.64

DFT (GGA-PBE) results for a relaxed structure of Tb5Te4Ir.

magnetization = 0.00 μB/atom
relative energy among the computed polymorphs = 0.593 kcal/mol of atoms
ΔE_f (raw) = -1.211 eV/atom
total DFT energy (no corrections) = -5.6690 eV/atom

Unit cell a=15.9766 b=15.9766 c=15.9766 alpha=164.65 beta=164.65 gamma=21.77
Last column: nearest neighbours and their distance in Å.
Fractional positions:
Tb  0.0000  0.0000  0.0000  4 Ir 3.02, 2 Te 3.30
Tb  0.2104  0.2104  0.0000  6 Te 3.08-3.30
Tb  0.4163  0.4163  0.0000  1 Ir 2.63
Tb  0.5837  0.5837  0.0000  1 Ir 2.63
Tb  0.7896  0.7896  0.0000  6 Te 3.08-3.30
Te  0.1053  0.1053  0.0000  6 Tb 3.09-3.30
Te  0.3096  0.3096  0.0000  6 Tb 3.08-3.35
Te  0.6904  0.6904  0.0000  6 Tb 3.08-3.35
Te  0.8947  0.8947  0.0000  6 Tb 3.09-3.30
Ir  0.5000  0.5000  0.0000  2 Tb 2.63

DFT (GGA-PBE) results for a relaxed structure of Ca3Cd2In3.

magnetization = 0.00 μB/atom
total DFT energy (no corrections) = -2.3918 eV/atom
DFT formation energy = -0.39 eV per atom

Unit cell a=6.3510 b=6.3510 c=15.9121 alpha=90.00 beta=90.00 gamma=135.17
Last column: nearest neighbours and their distance in Å.
Fractional positions:
Ca  0.0822  0.9178  0.6084  7 In 3.36-3.74, 4 Cd 3.42-3.70
Ca  0.0822  0.9178  0.8916  7 In 3.36-3.74, 4 Cd 3.42-3.70
Ca  0.3519  0.6481  0.7500  5 In 3.31-3.52, 4 Cd 3.44
Ca  0.6481  0.3519  0.2500  5 In 3.31-3.52, 4 Cd 3.44
Ca  0.9178  0.0822  0.1084  7 In 3.36-3.74, 4 Cd 3.42-3.70
Ca  0.9178  0.0822  0.3916  7 In 3.36-3.74, 4 Cd 3.42-3.70
Cd  0.2118  0.7882  0.1035  4 In 2.87-3.09
Cd  0.2118  0.7882  0.3965  4 In 2.87-3.09
Cd  0.7882  0.2118  0.6035  4 In 2.87-3.09
Cd  0.7882  0.2118  0.8965  4 In 2.87-3.09
In  0.3658  0.6342  0.2500  2 Cd 2.95
In  0.3877  0.6123  0.5407  3 Cd 2.87-3.09, 1 In 2.94
In  0.3877  0.6123  0.9593  3 Cd 2.87-3.09, 1 In 2.94
In  0.6123  0.3877  0.0407  3 Cd 2.87-3.09, 1 In 2.94
In  0.6123  0.3877  0.4593  3 Cd 2.87-3.09, 1 In 2.94
In  0.6342  0.3658  0.7500  2 Cd 2.95

DFT (GGA-PBE) results for a relaxed structure of Cr2AsAu.

magnetization = 0.00 μB/atom
total DFT energy (no corrections) = -6.5430 eV/atom
DFT formation energy = 0.25 eV per atom

Unit cell a=8.8250 b=8.8250 c=8.8250 alpha=18.68 beta=18.68 gamma=18.68
Last column: nearest neighbours and their distance in Å.
Fractional positions:
Cr  0.0000  0.0000  0.0000  3 Cr 2.29
Cr  0.2725  0.2725  0.2725  3 Cr 2.29
As  0.5284  0.5284  0.5284  3 Cr 2.61, 6 As 2.87
Au  0.7549  0.7549  0.7549  3 Cr 2.83, 6 Au 2.87

DFT (GGA-PBE) results for a relaxed structure of CeSm3Zr2P6.

magnetization = 0.00 μB/atom
total DFT energy (no corrections) = -7.2860 eV/atom
DFT formation energy = -1.48 eV per atom

Unit cell a=6.8675 b=6.8675 c=6.8979 alpha=99.58 beta=99.58 gamma=119.98
Last column: nearest neighbours and their distance in Å.
Fractional positions:
Ce  0.0000  0.0000  0.0000  6 P 2.79-2.80
Sm  0.1642  0.8358  0.5000  6 P 2.84-2.90
Sm  0.5000  0.5000  0.5000  6 P 2.83-2.89
Sm  0.8358  0.1642  0.5000  6 P 2.84-2.90
Zr  0.3334  0.6666  0.0000  6 P 2.71-2.73
Zr  0.6666  0.3334  0.0000  6 P 2.71-2.73
P  0.0781  0.4206  0.2343  2 Zr 2.72-2.73, 1 Ce 2.80, 3 Sm 2.84-2.90
P  0.2656  0.2656  0.7687  2 Zr 2.71, 1 Ce 2.79, 3 Sm 2.83-2.89
P  0.4206  0.0781  0.2343  2 Zr 2.72-2.73, 1 Ce 2.80, 3 Sm 2.84-2.90
P  0.5794  0.9219  0.7657  2 Zr 2.72-2.73, 1 Ce 2.80, 3 Sm 2.84-2.90
P  0.7344  0.7344  0.2313  2 Zr 2.71, 1 Ce 2.79, 3 Sm 2.83-2.89
P  0.9219  0.5794  0.7657  2 Zr 2.72-2.73, 1 Ce 2.80, 3 Sm 2.84-2.90

DFT (GGA-PBE) results for a relaxed structure of CsAg2Au.

magnetization = 0.00 μB/atom
relative energy among the computed polymorphs = 0.000 kcal/mol of atoms
total DFT energy (no corrections) = -2.5483 eV/atom
DFT formation energy = -0.09 eV per atom

Unit cell a=4.8587 b=4.8587 c=7.0436 alpha=110.69 beta=110.69 gamma=60.02
Last column: nearest neighbours and their distance in Å.
Fractional positions:
Cs  0.0000  0.0000  0.0000  1 Ag 3.44, 1 Au 3.47
Ag  0.1765  0.1765  0.5346  3 Ag 2.82, 3 Au 2.84-2.85
Ag  0.4950  0.4950  0.4908  3 Au 2.81, 3 Ag 2.82
Au  0.8179  0.8179  0.4601  6 Ag 2.81-2.85

DFT (GGA-PBE) results for a relaxed structure of HfTcCl2.

magnetization = 0.32 μB/atom
relative energy among the computed polymorphs = 0.000 kcal/mol of atoms
ΔE_f (raw) = -0.193 eV/atom
total DFT energy (no corrections) = -6.1964 eV/atom

Unit cell a=8.7388 b=8.7388 c=8.7388 alpha=20.33 beta=20.33 gamma=20.33
Last column: nearest neighbours and their distance in Å.
Fractional positions:
Hf  0.0000  0.0000  0.0000  6 Cl 2.60
Tc  0.5000  0.5000  0.5000  2 Cl 2.38
Cl  0.4073  0.4073  0.4073  1 Tc 2.38, 3 Hf 2.60
Cl  0.5927  0.5927  0.5927  1 Tc 2.38, 3 Hf 2.60

DFT (GGA-PBE) results for a relaxed structure of Cu2HRuRh.

magnetization = 0.32 μB/atom
total DFT energy (no corrections) = -5.3784 eV/atom

Unit cell a=3.8881 b=3.8881 c=3.6807 alpha=90.00 beta=90.00 gamma=90.00
Last column: nearest neighbours and their distance in Å.
Fractional positions:
Cu  0.0000  0.5000  0.0000  2 H 1.94
Cu  0.5000  0.0000  0.0000  2 H 1.94
H  0.0000  0.0000  0.0000  2 Ru 1.84, 4 Cu 1.94
Ru  0.0000  0.0000  0.5000  2 H 1.84
Rh  0.5000  0.5000  0.5000  8 Cu 2.68, 4 Ru 2.75

DFT (GGA-PBE) results for a relaxed structure of Li2MgNi.

magnetization = 0.03 μB/atom
total DFT energy (no corrections) = -2.6937 eV/atom
DFT formation energy = 0.11 eV per atom

Unit cell a=2.7439 b=2.7439 c=9.0403 alpha=90.00 beta=90.00 gamma=112.04
Last column: nearest neighbours and their distance in Å.
Fractional positions:
Li  0.0000  0.0000  0.2114  2 Ni 2.45, 4 Li 2.74
Li  0.0000  0.0000  0.7886  2 Ni 2.45, 4 Li 2.74
Mg  0.5000  0.5000  0.5000  6 Mg 2.74-3.07, 4 Li 3.03
Ni  0.5000  0.5000  0.0000  4 Li 2.45, 4 Ni 2.74

| no. | DOS(E_F) (states/eV/f.u.) |
| --- | --- |
| 1 | 19.7 |
| 2 | 6.8 |
| 3 | 3.2 |
| 4 | 2.8 |
| 5 | 5.1 |
| 6 | 4.4 |
| 7 | 1.9 |
| 8 | 6.6 |
| 9 | 1.7 |
| 10 | 2.8 |
| 11 | 6.0 |
| 12 | 2.2 |